Here is CoC8 after structural relaxation from Alexandria. Energies are from GGA-PBE.

a = 4.901 Å, b = 4.901 Å, c = 4.901 Å
α = 113.09°, β = 113.09°, γ = 102.46°
Each line ends with the local moment (μB).
Fractional positions:
C 0.248 0.248 0.495  0.06
C 0.000 0.367 0.367  0.01
C 0.000 0.633 0.633  0.01
C 0.752 0.752 0.505  0.06
C 0.248 0.752 0.000  0.06
C 0.752 0.248 0.000  0.06
C 0.367 0.000 0.367  0.01
C 0.633 0.000 0.633  0.01
Co 0.000 0.000 0.000  0.99

Calculated values
space group	I4/mmm, No. 139
ΔE_f	1.74	eV/atom